Record 1
YTm | GGA-PBE | relaxed

Lattice parameters (Å, degrees): 5.856 5.863 3.674 90.00 90.00 90.00
Positions (direct):
Tm 0.000 0.000 0.917
Tm 0.000 0.500 0.417
Y 0.500 0.000 0.417
Y 0.500 0.500 0.916

Computed properties:
* SG: No. 65
* calculated density: 6.79 g/cm³
* energy relative to the lowest polymorph listed for this composition: 0.124 eV/atom
* total magnetization: 0.0 Bohr magnetons per cell

Record 2
Y7Tm3 | GGA-PBE | relaxed

Lattice parameters (Å, degrees): 5.434 7.036 9.438 111.84 106.73 90.00
Positions (direct):
Y 0.390 0.139 0.779
Y 0.200 0.200 0.399
Y 0.610 0.861 0.221
Y 0.000 0.500 0.000
Y 0.800 0.800 0.601
Y 0.610 0.360 0.221
Y 0.390 0.640 0.779
Tm 0.200 0.700 0.399
Tm 0.800 0.300 0.601
Tm 0.000 0.000 0.000

Computed properties:
* SG: No. 12
* calculated density: 5.89 g/cm³
* energy relative to the lowest polymorph listed for this composition: 0.000 eV/atom
* total magnetization: 0.0 Bohr magnetons per cell

Record 3
Y13Tm2 | GGA-PBE | relaxed

Lattice parameters (Å, degrees): 6.620 8.986 8.994 114.31 81.42 98.67
Positions (direct):
Y 0.803 0.199 0.797
Y 0.486 0.830 0.837
Y 0.602 0.398 0.597
Y 0.712 0.625 0.020
Y 0.308 0.046 0.640
Y 0.104 0.549 0.745
Y 0.000 0.000 0.000
Y 0.514 0.170 0.163
Y 0.692 0.954 0.360
Y 0.197 0.801 0.203
Y 0.398 0.602 0.403
Y 0.896 0.451 0.255
Y 0.288 0.375 0.980
Tm 0.098 0.216 0.416
Tm 0.902 0.784 0.584

Computed properties:
* SG: No. 2
* calculated density: 5.17 g/cm³
* energy relative to the lowest polymorph listed for this composition: 0.000 eV/atom
* total magnetization: 0.0 Bohr magnetons per cell

Record 4
Y3Tm7 | GGA-PBE | relaxed

Lattice parameters (Å, degrees): 6.280 10.755 10.755 120.00 90.00 90.00
Site moments in Bohr magnetons follow the coordinates.
Positions (direct):
Y 0.366 0.791 0.581  0.07
Y 0.866 0.209 0.791  0.07
Y 0.366 0.419 0.209  0.07
Y 0.866 0.209 0.419  0.07
Y 0.366 0.791 0.209  0.07
Y 0.866 0.581 0.791  0.07
Tm 0.506 0.333 0.667  0.04
Tm 0.223 0.471 0.942  0.04
Tm 0.006 0.667 0.333  0.04
Tm 0.223 0.058 0.529  0.04
Tm 0.223 0.471 0.529  0.04
Tm 0.723 0.529 0.058  0.04
Tm 0.879 0.238 0.119  0.16
Tm 0.723 0.529 0.471  0.04
Tm 0.379 0.119 0.881  0.16
Tm 0.879 0.881 0.762  0.16
Tm 0.379 0.762 0.881  0.16
Tm 0.723 0.942 0.471  0.04
Tm 0.879 0.881 0.119  0.16
Tm 0.379 0.119 0.238  0.16

Computed properties:
* SG: No. 186
* calculated density: 7.65 g/cm³
* energy relative to the lowest polymorph listed for this composition: 0.153 eV/atom
* total magnetization: 2.5 Bohr magnetons per cell

Record 5
YTm2 | GGA-PBE | relaxed

Lattice parameters (Å, degrees): 3.426 5.940 5.940 57.42 73.24 73.24
Positions (direct):
Y 0.000 0.000 0.000
Tm 0.810 0.690 0.690
Tm 0.190 0.310 0.310

Computed properties:
* SG: No. 71
* calculated density: 7.37 g/cm³
* energy relative to the lowest polymorph listed for this composition: 0.174 eV/atom
* total magnetization: 0.0 Bohr magnetons per cell

Record 6
Y3Tm8 | GGA-PBE | relaxed

Lattice parameters (Å, degrees): 7.783 7.783 7.783 68.51 68.51 68.51
Positions (direct):
Tm 0.779 0.127 0.706
Tm 0.294 0.221 0.873
Tm 0.873 0.294 0.221
Tm 0.577 0.577 0.577
Tm 0.127 0.706 0.779
Tm 0.706 0.779 0.127
Tm 0.221 0.873 0.294
Tm 0.423 0.423 0.423
Y 0.500 0.500 0.000
Y 0.500 0.000 0.500
Y 0.000 0.500 0.500

Computed properties:
* SG: No. 148
* calculated density: 6.83 g/cm³
* energy relative to the lowest polymorph listed for this composition: 0.561 eV/atom
* total magnetization: 0.0 Bohr magnetons per cell

Record 7
YTm5 | GGA-PBE | relaxed

Lattice parameters (Å, degrees): 4.943 4.953 7.843 108.41 90.00 90.00
Positions (direct):
Tm 0.000 0.332 0.665
Tm 0.000 0.668 0.335
Tm 0.500 0.167 0.335
Tm 0.500 0.833 0.665
Tm 0.500 0.500 0.000
Y 0.000 0.000 0.000

Computed properties:
* SG: No. 65
* calculated density: 8.51 g/cm³
* energy relative to the lowest polymorph listed for this composition: 0.032 eV/atom
* total magnetization: 0.0 Bohr magnetons per cell

Record 8
YTm3 | GGA-PBE | relaxed

Lattice parameters (Å, degrees): 4.961 4.961 6.081 114.07 114.07 90.00
Positions (direct):
Y 0.000 0.000 0.000
Tm 0.500 0.500 0.000
Tm 0.750 0.250 0.500
Tm 0.250 0.750 0.500

Computed properties:
* SG: No. 139
* calculated density: 8.09 g/cm³
* energy relative to the lowest polymorph listed for this composition: 0.033 eV/atom
* total magnetization: 0.0 Bohr magnetons per cell

Record 9
Y5Tm7 | GGA-PBE | relaxed

Lattice parameters (Å, degrees): 3.539 9.363 11.945 73.76 81.48 79.11
Positions (direct):
Y 0.695 0.361 0.249
Y 0.166 0.167 0.502
Y 0.000 0.000 0.000
Y 0.834 0.833 0.498
Y 0.305 0.639 0.751
Tm 0.362 0.028 0.249
Tm 0.334 0.334 0.998
Tm 0.666 0.666 0.002
Tm 0.500 0.500 0.500
Tm 0.638 0.972 0.751
Tm 0.028 0.695 0.250
Tm 0.972 0.305 0.750

Computed properties:
* SG: No. 12
* calculated density: 7.28 g/cm³
* energy relative to the lowest polymorph listed for this composition: 0.000 eV/atom
* total magnetization: 0.0 Bohr magnetons per cell

Record 10
YTm5 | GGA-PBE | relaxed

Lattice parameters (Å, degrees): 6.075 7.014 10.477 90.00 90.00 125.26
Positions (direct):
Tm 0.250 0.000 0.082
Tm 0.750 0.000 0.582
Tm 0.750 0.500 0.583
Tm 0.250 0.500 0.417
Tm 0.250 0.000 0.418
Tm 0.750 0.000 0.250
Tm 0.250 0.000 0.750
Tm 0.750 0.000 0.918
Tm 0.750 0.500 0.917
Tm 0.250 0.500 0.083
Y 0.750 0.500 0.250
Y 0.250 0.500 0.750

Computed properties:
* SG: No. 12
* calculated density: 8.51 g/cm³
* energy relative to the lowest polymorph listed for this composition: 0.032 eV/atom
* total magnetization: 0.0 Bohr magnetons per cell

Record 11
Y8Tm3 | GGA-PBE | relaxed

Lattice parameters (Å, degrees): 7.673 7.673 7.673 107.14 107.14 107.14
Positions (direct):
Y 0.747 0.747 0.747
Y 0.183 0.034 0.691
Y 0.817 0.966 0.309
Y 0.034 0.691 0.183
Y 0.966 0.309 0.817
Y 0.309 0.817 0.966
Y 0.253 0.253 0.253
Y 0.691 0.183 0.034
Tm 0.500 0.500 0.000
Tm 0.500 0.000 0.500
Tm 0.000 0.500 0.500

Computed properties:
* SG: No. 148
* calculated density: 5.40 g/cm³
* energy relative to the lowest polymorph listed for this composition: 0.000 eV/atom
* total magnetization: 0.0 Bohr magnetons per cell

Record 12
Y3Tm13 | GGA-PBE | relaxed

Lattice parameters (Å, degrees): 8.318 8.318 7.164 90.00 90.00 96.25
Positions (direct):
Tm 0.790 0.706 0.500
Tm 0.043 0.460 0.251
Tm 0.294 0.210 0.500
Tm 0.457 0.543 0.750
Tm 0.457 0.543 0.250
Tm 0.292 0.210 0.000
Tm 0.209 0.791 0.000
Tm 0.540 0.957 0.251
Tm 0.209 0.791 0.500
Tm 0.790 0.708 0.000
Tm 0.540 0.957 0.749
Tm 0.708 0.292 0.500
Tm 0.043 0.460 0.749
Y 0.959 0.041 0.749
Y 0.707 0.293 0.000
Y 0.959 0.041 0.251

Computed properties:
* SG: No. 38
* calculated density: 8.30 g/cm³
* raw total energy: -77.55 eV/cell
* total magnetization: 0.0 Bohr magnetons per cell

Record 13
YTm3 | GGA-PBE | relaxed

Lattice parameters (Å, degrees): 7.164 7.164 5.566 90.00 90.00 120.00
Positions (direct):
Tm 0.166 0.834 0.250
Tm 0.834 0.166 0.750
Tm 0.834 0.669 0.750
Tm 0.331 0.166 0.750
Tm 0.166 0.331 0.250
Tm 0.669 0.834 0.250
Y 0.333 0.667 0.750
Y 0.667 0.333 0.250

Computed properties:
* SG: No. 194
* calculated density: 8.00 g/cm³
* energy relative to the lowest polymorph listed for this composition: 0.004 eV/atom
* total magnetization: 0.0 Bohr magnetons per cell

Record 14
Y3Tm4 | GGA-PBE | relaxed

Lattice parameters (Å, degrees): 3.464 8.606 9.091 123.12 100.98 90.00
Positions (direct):
Tm 0.633 0.860 0.267
Tm 0.367 0.140 0.733
Tm 0.922 0.543 0.844
Tm 0.078 0.457 0.156
Y 0.223 0.293 0.445
Y 0.000 0.000 0.000
Y 0.777 0.707 0.555

Computed properties:
* SG: No. 12
* calculated density: 7.08 g/cm³
* energy relative to the lowest polymorph listed for this composition: 0.133 eV/atom
* total magnetization: 0.0 Bohr magnetons per cell

Record 15
YTm8 | GGA-PBE | relaxed

Lattice parameters (Å, degrees): 4.937 7.824 7.824 84.29 71.61 71.61
Positions (direct):
Tm 0.000 0.666 0.334
Tm 0.668 0.665 0.000
Tm 0.666 0.334 0.334
Tm 0.668 0.000 0.665
Tm 0.332 0.335 0.000
Tm 0.334 0.666 0.666
Tm 0.332 0.000 0.335
Tm 0.000 0.334 0.666
Y 0.000 0.000 0.000

Computed properties:
* SG: No. 139
* calculated density: 8.79 g/cm³
* raw total energy: -41.98 eV/cell
* total magnetization: 0.0 Bohr magnetons per cell

Record 16
YTm | GGA-PBE | relaxed

Lattice parameters (Å, degrees): 3.500 5.492 6.743 90.08 105.04 90.00
Positions (direct):
Tm 0.825 0.749 0.651
Tm 0.175 0.251 0.349
Y 0.565 0.750 0.131
Y 0.435 0.250 0.869

Computed properties:
* SG: No. 12
* calculated density: 6.84 g/cm³
* energy relative to the lowest polymorph listed for this composition: 0.051 eV/atom
* total magnetization: 0.0 Bohr magnetons per cell

Record 17
YTm4 | GGA-PBE | relaxed

Lattice parameters (Å, degrees): 3.506 3.506 14.411 83.14 83.14 60.06
Positions (direct):
Tm 0.600 0.600 0.202
Tm 0.200 0.200 0.401
Tm 0.400 0.400 0.798
Tm 0.800 0.800 0.599
Y 0.000 0.000 0.000

Computed properties:
* SG: No. 12
* calculated density: 8.35 g/cm³
* energy relative to the lowest polymorph listed for this composition: 0.000 eV/atom
* total magnetization: 0.0 Bohr magnetons per cell

Record 18
YTm6 | GGA-PBE | relaxed

Lattice parameters (Å, degrees): 6.425 6.425 10.818 90.00 90.00 90.00
Positions (direct):
Y 0.500 0.000 0.000
Y 0.000 0.500 0.000
Tm 0.831 0.669 0.363
Tm 0.831 0.331 0.637
Tm 0.500 0.500 0.858
Tm 0.000 0.000 0.858
Tm 0.169 0.331 0.363
Tm 0.331 0.169 0.637
Tm 0.169 0.669 0.637
Tm 0.669 0.169 0.363
Tm 0.669 0.831 0.637
Tm 0.331 0.831 0.363
Tm 0.000 0.000 0.142
Tm 0.500 0.500 0.142

Computed properties:
* SG: No. 125
* calculated density: 8.20 g/cm³
* energy relative to the lowest polymorph listed for this composition: 0.000 eV/atom
* total magnetization: 0.0 Bohr magnetons per cell

Record 19
YTm3 | GGA-PBE | relaxed

Lattice parameters (Å, degrees): 3.585 6.204 6.616 117.96 105.72 90.00
Positions (direct):
Tm 0.500 0.501 0.000
Tm 0.249 0.582 0.497
Tm 0.751 0.085 0.503
Y 0.000 0.999 0.000

Computed properties:
* SG: No. 44
* calculated density: 8.00 g/cm³
* energy relative to the lowest polymorph listed for this composition: 0.001 eV/atom
* total magnetization: 0.0 Bohr magnetons per cell

Record 20
Y4Tm3 | GGA-PBE | relaxed

Lattice parameters (Å, degrees): 3.535 4.998 12.762 101.29 97.96 90.00
Positions (direct):
Y 0.714 0.214 0.427
Y 0.429 0.929 0.858
Y 0.286 0.786 0.573
Y 0.571 0.071 0.142
Tm 0.142 0.642 0.285
Tm 0.000 0.500 0.000
Tm 0.858 0.358 0.715

Computed properties:
* SG: No. 71
* calculated density: 6.54 g/cm³
* energy relative to the lowest polymorph listed for this composition: 0.000 eV/atom
* total magnetization: 0.0 Bohr magnetons per cell

Record 21
Y2Tm5 | GGA-PBE | relaxed

Lattice parameters (Å, degrees): 6.209 9.084 8.339 95.79 111.86 90.00
Positions (direct):
Tm 0.546 0.821 0.428
Tm 0.118 0.679 0.572
Tm 0.021 0.035 0.711
Tm 0.310 0.465 0.289
Tm 0.835 0.250 0.000
Tm 0.979 0.965 0.289
Tm 0.165 0.750 0.000
Tm 0.690 0.535 0.711
Tm 0.882 0.321 0.428
Tm 0.454 0.179 0.572
Y 0.740 0.607 0.144
Y 0.260 0.393 0.856
Y 0.596 0.893 0.856
Y 0.404 0.107 0.144

Computed properties:
* SG: No. 15
* calculated density: 7.83 g/cm³
* energy relative to the lowest polymorph listed for this composition: 0.000 eV/atom
* total magnetization: 0.0 Bohr magnetons per cell

Record 22
YTm4 | GGA-PBE | relaxed

Lattice parameters (Å, degrees): 5.931 6.151 9.267 65.71 90.00 90.00
Positions (direct):
Tm 0.049 0.789 0.404
Tm 0.572 0.605 0.299
Tm 0.928 0.605 0.799
Tm 0.428 0.395 0.701
Tm 0.951 0.211 0.596
Tm 0.549 0.211 0.096
Tm 0.451 0.789 0.904
Tm 0.072 0.395 0.201
Y 0.000 0.000 0.000
Y 0.500 0.000 0.500

Computed properties:
* SG: No. 14
* calculated density: 8.24 g/cm³
* energy relative to the lowest polymorph listed for this composition: 0.075 eV/atom
* total magnetization: 0.0 Bohr magnetons per cell

Record 23
Y3Tm8 | GGA-PBE | relaxed

Lattice parameters (Å, degrees): 3.514 3.514 31.533 86.81 86.81 60.00
Positions (direct):
Y 0.000 0.000 0.000
Y 0.272 0.272 0.184
Y 0.728 0.728 0.816
Tm 0.182 0.182 0.455
Tm 0.636 0.636 0.092
Tm 0.364 0.364 0.908
Tm 0.455 0.455 0.635
Tm 0.908 0.908 0.275
Tm 0.092 0.092 0.725
Tm 0.545 0.545 0.365
Tm 0.818 0.818 0.545

Computed properties:
* SG: No. 166
* calculated density: 7.99 g/cm³
* energy relative to the lowest polymorph listed for this composition: 0.000 eV/atom
* total magnetization: 0.0 Bohr magnetons per cell